A plane-wave DFT calculation with meta-GGA SCAN was carried out for a PBEsol-optimized structure of YCd2Cu2.

Cell: 4.0043 4.0043 6.5376 Å, 107.83 107.83 90.00°
Last column: nearest neighbours and their distance in Å.
Fractional coordinates of all 5 atoms:
Y1 0.0000 0.0000 0.0000  8 Cu 3.06
Cd1 0.7500 0.2500 0.5000  4 Cu 2.69, 4 Cd 2.83
Cu1 0.5982 0.5982 0.1963  1 Cu 2.31
Cu2 0.4018 0.4018 0.8037  1 Cu 2.31
Cd2 0.2500 0.7500 0.5000  4 Cu 2.69, 4 Cd 2.83

Summary:
calculated formation energy: -104.0 kJ/mol of formula units
raw total energy: -120.1 eV/cell
magnetization: 0.0 Bohr magnetons per cell